First-principles (GGA-PBE) data for a relaxed structure of YThMnZn, as listed in Alexandria via LeMat-Bulk.

```
data_YThMnZn
_chemical_formula_sum 'Y4 Th4 Mn4 Zn4'
_cell_length_a 7.177
_cell_length_b 7.177
_cell_length_c 7.177
_cell_angle_alpha 90.00
_cell_angle_beta 90.00
_cell_angle_gamma 90.00
_symmetry_space_group_name_H-M 'F -4 3 m'
_symmetry_Int_Tables_number 216
_symmetry_space_group_name_Hall 'F -4 2 3'
loop_
_atom_site_label
_atom_site_type_symbol
_atom_site_fract_x
_atom_site_fract_y
_atom_site_fract_z
Y1 Y 0.000 0.000 0.000
Th1 Th 0.000 0.000 0.500
Mn1 Mn 0.250 0.250 0.250
Zn1 Zn 0.250 0.250 0.750
```

* total magnetization: 0.597 μB per atom
* E_tot: -6.084 eV/atom
* DFT formation energy: -0.04 kcal/mol of atoms